[1]
Density functional theory data (PBE) for a relaxed structure of NaBSb2Mo.

It has space group P4/mmm (No. 123), with a = 5.2584 Å, b = 5.2584 Å, c = 5.0208 Å, α = 90.00°, β = 90.00° and γ = 90.00°. The inequivalent atoms are Na at (0.0000, 0.0000, 0.0000), B at (0.5000, 0.5000, 0.5000), Sb at (0.0000, 0.5000, 0.0000) and Mo at (0.0000, 0.0000, 0.5000).

[2]
Density functional theory data (PBE) for a relaxed structure of InPb2O.

It has space group I-42d (No. 122), with a = 6.2223 Å, b = 6.2223 Å, c = 12.4865 Å, α = 90.00°, β = 90.00° and γ = 90.00°. The inequivalent atoms are In at (0.0000, 0.0000, 0.0000), Pb at (0.1510, 0.2500, 0.6250) and O at (0.0000, 0.0000, 0.5000).

[3]
Density functional theory data (PBE) for a relaxed structure of Sr2ZrZn2.

It has space group I4/mmm (No. 139), with a = 4.8050 Å, b = 4.8050 Å, c = 12.6133 Å, α = 90.00°, β = 90.00° and γ = 90.00°. The inequivalent atoms are Sr at (0.0000, 0.5000, 0.2500), Zr at (0.0000, 0.0000, 0.0000) and Zn at (0.0000, 0.0000, 0.4086).

The energy of formation from the pure elements comes out at 478 meV/atom.

no.,spin magnetization (μB per formula unit),raw total energy (eV/cell)
1,3.802,-15.8
2,0.000,-63.5
3,1.795,-24.1